Record 1
MnAlFe2 PBE-GGA relaxed; M_tot = 5.87 Bohr magnetons per cell; DFT total energy = -7.575 eV/atom; formation enthalpy at 0 K = -115 meV per atom
1.0
-1.907 4.304 -0.572
-2.508 2.711 -2.975
-3.965 0.265 0.817
Mn Fe Al
1 2 1
direct
0.489 0.489 0.511
0.011 0.011 0.988
0.745 0.745 0.755
0.254 0.254 0.246


Record 2
MnAl3Fe4 PBE-GGA relaxed; M_tot = 3.24 Bohr magnetons per cell; DFT total energy = -7.008 eV/atom; formation enthalpy at 0 K = -227 meV per atom
1.0
-0.724 -1.155 2.493
-2.018 -1.526 -1.293
7.545 -8.500 -1.744
Al Fe Mn
3 4 1
direct
0.500 0.500 0.249
0.500 0.500 0.751
0.500 0.500 0.500
0.000 0.000 0.375
0.000 0.000 0.118
0.000 0.000 0.625
0.000 0.000 0.882
0.500 0.500 0.000


Record 3
Mn3Al4Fe PBE-GGA relaxed; M_tot = 7.21 Bohr magnetons per cell; DFT total energy = -6.639 eV/atom; formation enthalpy at 0 K = -272 meV per atom
1.0
2.814 0.000 0.000
0.000 2.814 0.000
0.000 0.000 12.923
Fe Al Mn
1 4 3
direct
0.500 0.500 0.000
0.000 0.000 0.631
0.000 0.000 0.110
0.000 0.000 0.890
0.000 0.000 0.369
0.500 0.500 0.500
0.500 0.500 0.240
0.500 0.500 0.760


The highest DFT total energy belongs to which entry? Mn3Al4Fe


What is the formation enthalpy at 0 K in the second record? -227 meV per atom


Which of these has the highest M_tot? Mn3Al4Fe